(1)
# CeThRu (PBE-GGA, relaxed)
# Density, Mg/m³: 10.8
# Formation energy, eV/atom: -0.180
# Crystal system: trigonal
data_CeThRu
_chemical_formula_sum 'Ce1 Th1 Ru1'
_cell_length_a 4.5357
_cell_length_b 4.5357
_cell_length_c 4.0789
_cell_angle_alpha 90.00
_cell_angle_beta 90.00
_cell_angle_gamma 120.00
_symmetry_space_group_name_H-M 'P 3 m 1'
_symmetry_Int_Tables_number 156
loop_
_symmetry_equiv_pos_as_xyz
'x,y,z'
'-y,x-y,z'
'-x+y,-x,z'
'-y,-x,z'
'-x+y,y,z'
'x,x-y,z'
loop_
_atom_site_label
_atom_site_type_symbol
_atom_site_fract_x
_atom_site_fract_y
_atom_site_fract_z
Ce1 Ce 0.0000 0.0000 0.0000
Th1 Th 0.3333 0.6667 0.5961
Ru1 Ru 0.6667 0.3333 0.2935


(2)
# CeThRu (PBE-GGA, relaxed)
# Density, Mg/m³: 9.8
# Formation energy, eV/atom: -0.263
# Crystal system: monoclinic
data_CeThRu
_chemical_formula_sum 'Ce4 Th4 Ru4'
_cell_length_a 5.8554
_cell_length_b 8.2123
_cell_length_c 7.4375
_cell_angle_alpha 90.00
_cell_angle_beta 116.64
_cell_angle_gamma 90.00
_symmetry_space_group_name_H-M 'P 1 21/c 1'
_symmetry_Int_Tables_number 14
loop_
_symmetry_equiv_pos_as_xyz
'x,y,z'
'-x,-y,-z'
'-x,y+1/2,-z+1/2'
'x,-y+1/2,z+1/2'
loop_
_atom_site_label
_atom_site_type_symbol
_atom_site_fract_x
_atom_site_fract_y
_atom_site_fract_z
Ce1 Ce 0.2311 0.1217 0.4987
Th1 Th 0.2267 0.6284 0.4764
Ru1 Ru 0.4888 0.1247 0.2501


(3)
# Ce2Th3Ru2 (PBE-GGA, relaxed)
# Density, Mg/m³: 10.5
# Formation energy, eV/atom: -0.292
# Crystal system: triclinic
data_Ce2Th3Ru2
_chemical_formula_sum 'Ce2 Th3 Ru2'
_cell_length_a 3.7996
_cell_length_b 6.2327
_cell_length_c 8.7475
_cell_angle_alpha 71.55
_cell_angle_beta 89.99
_cell_angle_gamma 72.25
_symmetry_space_group_name_H-M 'P -1'
_symmetry_Int_Tables_number 2
loop_
_symmetry_equiv_pos_as_xyz
'x,y,z'
'-x,-y,-z'
loop_
_atom_site_label
_atom_site_type_symbol
_atom_site_fract_x
_atom_site_fract_y
_atom_site_fract_z
Ce1 Ce 0.1619 0.1752 0.2920
Th1 Th 0.3761 0.7483 0.0655
Th2 Th 0.5000 0.5000 0.5000
Ru1 Ru 0.1609 0.1795 0.6894


(4)
# CeTh3Ru2 (PBE-GGA, relaxed)
# Density, Mg/m³: 11.0
# Formation energy, eV/atom: -0.337
# Crystal system: monoclinic
data_CeTh3Ru2
_chemical_formula_sum 'Ce4 Th12 Ru8'
_cell_length_a 12.9483
_cell_length_b 6.5769
_cell_length_c 7.7195
_cell_angle_alpha 90.00
_cell_angle_beta 107.45
_cell_angle_gamma 90.00
_symmetry_space_group_name_H-M 'C 1 2/c 1'
_symmetry_Int_Tables_number 15
loop_
_symmetry_equiv_pos_as_xyz
'x,y,z'
'-x,-y,-z'
'-x,y,-z+1/2'
'x,-y,z+1/2'
'x+1/2,y+1/2,z'
'-x+1/2,-y+1/2,-z'
'-x+1/2,y+1/2,-z+1/2'
'x+1/2,-y+1/2,z+1/2'
loop_
_atom_site_label
_atom_site_type_symbol
_atom_site_fract_x
_atom_site_fract_y
_atom_site_fract_z
Ce1 Ce 0.0000 0.2422 0.2500
Th1 Th 0.0000 0.2474 0.7500
Th2 Th 0.2154 0.0023 0.6076
Ru1 Ru 0.1275 0.4978 0.5634


(5)
# Ce2Th2Ru3 (PBE-GGA, relaxed)
# Density, Mg/m³: 9.5
# Formation energy, eV/atom: -0.358
# Crystal system: monoclinic
data_Ce2Th2Ru3
_chemical_formula_sum 'Ce4 Th4 Ru6'
_cell_length_a 13.1708
_cell_length_b 4.1486
_cell_length_c 6.9177
_cell_angle_alpha 90.00
_cell_angle_beta 103.99
_cell_angle_gamma 90.00
_symmetry_space_group_name_H-M 'C 1 2/m 1'
_symmetry_Int_Tables_number 12
loop_
_symmetry_equiv_pos_as_xyz
'x,y,z'
'-x,-y,-z'
'-x,y,-z'
'x,-y,z'
'x+1/2,y+1/2,z'
'-x+1/2,-y+1/2,-z'
'-x+1/2,y+1/2,-z'
'x+1/2,-y+1/2,z'
loop_
_atom_site_label
_atom_site_type_symbol
_atom_site_fract_x
_atom_site_fract_y
_atom_site_fract_z
Ce1 Ce 0.1372 0.0000 0.3688
Th1 Th 0.1205 0.5000 0.8783
Ru1 Ru 0.0000 0.0000 0.0000
Ru2 Ru 0.2266 0.0000 0.7258


(6)
# Ce2ThRu2 (PBE-GGA, relaxed)
# Density, Mg/m³: 10.6
# Formation energy, eV/atom: -0.040
# Crystal system: monoclinic
data_Ce2ThRu2
_chemical_formula_sum 'Ce4 Th2 Ru4'
_cell_length_a 5.1734
_cell_length_b 7.2777
_cell_length_c 6.0066
_cell_angle_alpha 90.00
_cell_angle_beta 96.34
_cell_angle_gamma 90.00
_symmetry_space_group_name_H-M 'C 1 2/m 1'
_symmetry_Int_Tables_number 12
loop_
_symmetry_equiv_pos_as_xyz
'x,y,z'
'-x,-y,-z'
'-x,y,-z'
'x,-y,z'
'x+1/2,y+1/2,z'
'-x+1/2,-y+1/2,-z'
'-x+1/2,y+1/2,-z'
'x+1/2,-y+1/2,z'
loop_
_atom_site_label
_atom_site_type_symbol
_atom_site_fract_x
_atom_site_fract_y
_atom_site_fract_z
Ce1 Ce 0.0000 0.1927 0.0000
Th1 Th 0.0000 0.0000 0.5000
Ru1 Ru 0.0239 0.5000 0.2593


(7)
# Ce3ThRu2 (PBE-GGA, relaxed)
# Density, Mg/m³: 10.2
# Formation energy, eV/atom: -0.275
# Crystal system: monoclinic
data_Ce3ThRu2
_chemical_formula_sum 'Ce12 Th4 Ru8'
_cell_length_a 15.9992
_cell_length_b 4.4694
_cell_length_c 8.6876
_cell_angle_alpha 90.00
_cell_angle_beta 116.58
_cell_angle_gamma 90.00
_symmetry_space_group_name_H-M 'C 1 2/m 1'
_symmetry_Int_Tables_number 12
loop_
_symmetry_equiv_pos_as_xyz
'x,y,z'
'-x,-y,-z'
'-x,y,-z'
'x,-y,z'
'x+1/2,y+1/2,z'
'-x+1/2,-y+1/2,-z'
'-x+1/2,y+1/2,-z'
'x+1/2,-y+1/2,z'
loop_
_atom_site_label
_atom_site_type_symbol
_atom_site_fract_x
_atom_site_fract_y
_atom_site_fract_z
Ce1 Ce 0.0667 0.0000 0.4164
Ce2 Ce 0.1233 0.5000 0.6934
Ce3 Ce 0.2105 0.5000 0.3705
Th1 Th 0.1130 0.0000 0.0261
Ru1 Ru 0.0232 0.5000 0.1915
Ru2 Ru 0.2357 0.0000 0.8768


(8)
# Ce2ThRu2 (PBE-GGA, relaxed)
# Density, Mg/m³: 10.2
# Formation energy, eV/atom: -0.362
# Crystal system: triclinic
data_Ce2ThRu2
_chemical_formula_sum 'Ce4 Th2 Ru4'
_cell_length_a 4.9896
_cell_length_b 6.2401
_cell_length_c 8.2263
_cell_angle_alpha 90.28
_cell_angle_beta 98.29
_cell_angle_gamma 113.20
_symmetry_space_group_name_H-M 'P -1'
_symmetry_Int_Tables_number 2
loop_
_symmetry_equiv_pos_as_xyz
'x,y,z'
'-x,-y,-z'
loop_
_atom_site_label
_atom_site_type_symbol
_atom_site_fract_x
_atom_site_fract_y
_atom_site_fract_z
Ce1 Ce 0.0101 0.0853 0.3348
Ce2 Ce 0.2852 0.7666 0.0980
Th1 Th 0.3088 0.5247 0.6815
Ru1 Ru 0.2400 0.2510 0.9953
Ru2 Ru 0.3668 0.7672 0.4199


(9)
# Ce5ThRu6 (PBE-GGA, relaxed)
# Density, Mg/m³: 9.8
# Formation energy, eV/atom: -0.309
# Crystal system: monoclinic
data_Ce5ThRu6
_chemical_formula_sum 'Ce10 Th2 Ru12'
_cell_length_a 7.4005
_cell_length_b 12.9080
_cell_length_c 6.0787
_cell_angle_alpha 90.00
_cell_angle_beta 116.08
_cell_angle_gamma 90.00
_symmetry_space_group_name_H-M 'C 1 2/m 1'
_symmetry_Int_Tables_number 12
loop_
_symmetry_equiv_pos_as_xyz
'x,y,z'
'-x,-y,-z'
'-x,y,-z'
'x,-y,z'
'x+1/2,y+1/2,z'
'-x+1/2,-y+1/2,-z'
'-x+1/2,y+1/2,-z'
'x+1/2,-y+1/2,z'
loop_
_atom_site_label
_atom_site_type_symbol
_atom_site_fract_x
_atom_site_fract_y
_atom_site_fract_z
Ce1 Ce 0.0000 0.0000 0.0000
Ce2 Ce 0.0000 0.1904 0.5000
Ce3 Ce 0.0000 0.3574 0.0000
Th1 Th 0.0000 0.5000 0.5000
Ru1 Ru 0.2148 0.0000 0.6454
Ru2 Ru 0.2228 0.1743 0.1636


(10)
# Ce2ThRu (PBE-GGA, relaxed)
# Density, Mg/m³: 10.3
# Formation energy, eV/atom: 0.126
# Crystal system: trigonal
data_Ce2ThRu
_chemical_formula_sum 'Ce6 Th3 Ru3'
_cell_length_a 5.4545
_cell_length_b 5.4545
_cell_length_c 11.4705
_cell_angle_alpha 90.00
_cell_angle_beta 90.00
_cell_angle_gamma 120.00
_symmetry_space_group_name_H-M 'R -3 m'
_symmetry_Int_Tables_number 166
_symmetry_space_group_name_Hall '-R 3 2"'
loop_
_atom_site_label
_atom_site_type_symbol
_atom_site_fract_x
_atom_site_fract_y
_atom_site_fract_z
Ce1 Ce 0.0000 0.0000 0.2265
Th1 Th 0.0000 0.0000 0.5000
Ru1 Ru 0.0000 0.0000 0.0000


(11)
# CeThRu4 (PBE-GGA, relaxed)
# Density, Mg/m³: 11.6
# Formation energy, eV/atom: -0.299
# Crystal system: cubic
data_CeThRu4
_chemical_formula_sum 'Ce4 Th4 Ru16'
_cell_length_a 7.6296
_cell_length_b 7.6296
_cell_length_c 7.6296
_cell_angle_alpha 90.00
_cell_angle_beta 90.00
_cell_angle_gamma 90.00
_symmetry_space_group_name_H-M 'F -4 3 m'
_symmetry_Int_Tables_number 216
_symmetry_space_group_name_Hall 'F -4 2 3'
loop_
_atom_site_label
_atom_site_type_symbol
_atom_site_fract_x
_atom_site_fract_y
_atom_site_fract_z
Ce1 Ce 0.0000 0.0000 0.0000
Th1 Th 0.2500 0.2500 0.2500
Ru1 Ru 0.1252 0.1252 0.6252


(12)
# CeThTlRu (PBE-GGA, relaxed)
# Density, Mg/m³: 11.6
# Formation energy, eV/atom: -0.110
# Crystal system: orthorhombic
data_CeThTlRu
_chemical_formula_sum 'Ce1 Th1 Tl1 Ru1'
_cell_length_a 3.7260
_cell_length_b 4.6785
_cell_length_c 5.5778
_cell_angle_alpha 90.00
_cell_angle_beta 90.00
_cell_angle_gamma 90.00
_symmetry_space_group_name_H-M 'P m m 2'
_symmetry_Int_Tables_number 25
loop_
_symmetry_equiv_pos_as_xyz
'x,y,z'
'-x,-y,z'
'-x,y,z'
'x,-y,z'
loop_
_atom_site_label
_atom_site_type_symbol
_atom_site_fract_x
_atom_site_fract_y
_atom_site_fract_z
Ce1 Ce 0.0000 0.0000 0.0000
Th1 Th 0.0000 0.5000 0.6313
Tl1 Tl 0.5000 0.5000 0.1648
Ru1 Ru 0.5000 0.0000 0.5227


(13)
# Ce2TiRu (PBE-GGA, relaxed)
# Density, Mg/m³: 8.9
# Formation energy, eV/atom: 0.208
# Crystal system: trigonal
data_Ce2TiRu
_chemical_formula_sum 'Ce6 Ti3 Ru3'
_cell_length_a 3.0111
_cell_length_b 3.0111
_cell_length_c 30.4829
_cell_angle_alpha 90.00
_cell_angle_beta 90.00
_cell_angle_gamma 120.00
_symmetry_space_group_name_H-M 'R -3 m'
_symmetry_Int_Tables_number 166
_symmetry_space_group_name_Hall '-R 3 2"'
loop_
_atom_site_label
_atom_site_type_symbol
_atom_site_fract_x
_atom_site_fract_y
_atom_site_fract_z
Ce1 Ce 0.0000 0.0000 0.0900
Ti1 Ti 0.0000 0.0000 0.0000
Ru1 Ru 0.0000 0.0000 0.5000


(14)
# Ce8TlRu2 (PBE-GGA, relaxed)
# Density, Mg/m³: 8.8
# Formation energy, eV/atom: -0.142
# Crystal system: monoclinic
data_Ce8TlRu2
_chemical_formula_sum 'Ce16 Tl2 Ru4'
_cell_length_a 8.4044
_cell_length_b 13.2450
_cell_length_c 5.3483
_cell_angle_alpha 90.00
_cell_angle_beta 103.91
_cell_angle_gamma 90.00
_symmetry_space_group_name_H-M 'C 1 2/m 1'
_symmetry_Int_Tables_number 12
loop_
_symmetry_equiv_pos_as_xyz
'x,y,z'
'-x,-y,-z'
'-x,y,-z'
'x,-y,z'
'x+1/2,y+1/2,z'
'-x+1/2,-y+1/2,-z'
'-x+1/2,y+1/2,-z'
'x+1/2,-y+1/2,z'
loop_
_atom_site_label
_atom_site_type_symbol
_atom_site_fract_x
_atom_site_fract_y
_atom_site_fract_z
Ce1 Ce 0.0000 0.2455 0.0000
Ce2 Ce 0.0796 0.0000 0.8093
Ce3 Ce 0.2039 0.3918 0.5606
Tl1 Tl 0.0000 0.5000 0.0000
Ru1 Ru 0.0000 0.2126 0.5000


(15)
# Ce5Tl2Ru2 (PBE-GGA, relaxed)
# Density, Mg/m³: 8.8
# Formation energy, eV/atom: -0.155
# Crystal system: orthorhombic
data_Ce5Tl2Ru2
_chemical_formula_sum 'Ce20 Tl8 Ru8'
_cell_length_a 16.1948
_cell_length_b 8.7359
_cell_length_c 6.9585
_cell_angle_alpha 90.00
_cell_angle_beta 90.00
_cell_angle_gamma 90.00
_symmetry_space_group_name_H-M 'I m a 2'
_symmetry_Int_Tables_number 46
loop_
_symmetry_equiv_pos_as_xyz
'x,y,z'
'-x,-y,z'
'-x+1/2,y,z'
'x+1/2,-y,z'
'x+1/2,y+1/2,z+1/2'
'-x+1/2,-y+1/2,z+1/2'
'-x,y+1/2,z+1/2'
'x,-y+1/2,z+1/2'
loop_
_atom_site_label
_atom_site_type_symbol
_atom_site_fract_x
_atom_site_fract_y
_atom_site_fract_z
Ce1 Ce 0.0379 0.2169 0.0000
Ce2 Ce 0.1546 0.5964 0.2584
Ce3 Ce 0.2500 0.2231 0.3474
Tl1 Tl 0.1052 0.5476 0.7968
Ru1 Ru 0.0000 0.0000 0.7081
Ru2 Ru 0.2500 0.0484 0.0601


(16)
# Ce5Tl2Ru (PBE-GGA, relaxed)
# Density, Mg/m³: 7.2
# Formation energy, eV/atom: 0.146
# Crystal system: orthorhombic
data_Ce5Tl2Ru
_chemical_formula_sum 'Ce20 Tl8 Ru4'
_cell_length_a 5.3217
_cell_length_b 17.2552
_cell_length_c 12.1979
_cell_angle_alpha 90.00
_cell_angle_beta 90.00
_cell_angle_gamma 90.00
_symmetry_space_group_name_H-M 'C m c m'
_symmetry_Int_Tables_number 63
_symmetry_space_group_name_Hall '-C 2c 2'
loop_
_atom_site_label
_atom_site_type_symbol
_atom_site_fract_x
_atom_site_fract_y
_atom_site_fract_z
Ce1 Ce 0.0000 0.0514 0.0957
Ce2 Ce 0.0000 0.2702 0.0631
Ce3 Ce 0.0000 0.3123 0.7500
Tl1 Tl 0.0000 0.1332 0.6314
Ru1 Ru 0.0000 0.1648 0.2500


(17)
# Ce5Tl5Ru2 (PBE-GGA, relaxed)
# Density, Mg/m³: 9.6
# Formation energy, eV/atom: -0.222
# Crystal system: monoclinic
data_Ce5Tl5Ru2
_chemical_formula_sum 'Ce10 Tl10 Ru4'
_cell_length_a 11.8939
_cell_length_b 5.2514
_cell_length_c 10.8433
_cell_angle_alpha 90.00
_cell_angle_beta 99.96
_cell_angle_gamma 90.00
_symmetry_space_group_name_H-M 'C 1 2/m 1'
_symmetry_Int_Tables_number 12
loop_
_symmetry_equiv_pos_as_xyz
'x,y,z'
'-x,-y,-z'
'-x,y,-z'
'x,-y,z'
'x+1/2,y+1/2,z'
'-x+1/2,-y+1/2,-z'
'-x+1/2,y+1/2,-z'
'x+1/2,-y+1/2,z'
loop_
_atom_site_label
_atom_site_type_symbol
_atom_site_fract_x
_atom_site_fract_y
_atom_site_fract_z
Ce1 Ce 0.0000 0.0000 0.0000
Ce2 Ce 0.0491 0.0000 0.3285
Ce3 Ce 0.1791 0.5000 0.8638
Tl1 Tl 0.0000 0.5000 0.5000
Tl2 Tl 0.1112 0.5000 0.1621
Tl3 Tl 0.2129 0.0000 0.5974
Ru1 Ru 0.1525 0.0000 0.8639


(18)
# Ce6Tl2Ru (PBE-GGA, relaxed)
# Density, Mg/m³: 9.2
# Formation energy, eV/atom: -0.195
# Crystal system: orthorhombic
data_Ce6Tl2Ru
_chemical_formula_sum 'Ce12 Tl4 Ru2'
_cell_length_a 3.6250
_cell_length_b 15.3041
_cell_length_c 8.8140
_cell_angle_alpha 90.00
_cell_angle_beta 90.00
_cell_angle_gamma 90.00
_symmetry_space_group_name_H-M 'A m m 2'
_symmetry_Int_Tables_number 38
loop_
_symmetry_equiv_pos_as_xyz
'x,y,z'
'-x,-y,z'
'-x,y,z'
'x,-y,z'
'x,y+1/2,z+1/2'
'-x,-y+1/2,z+1/2'
'-x,y+1/2,z+1/2'
'x,-y+1/2,z+1/2'
loop_
_atom_site_label
_atom_site_type_symbol
_atom_site_fract_x
_atom_site_fract_y
_atom_site_fract_z
Ce1 Ce 0.0000 0.0000 0.0000
Ce2 Ce 0.0000 0.1223 0.6326
Ce3 Ce 0.5000 0.0000 0.3699
Ce4 Ce 0.5000 0.1918 0.9467
Tl1 Tl 0.0000 0.1669 0.2549
Ru1 Ru 0.5000 0.0000 0.7549


(19)
# Ce6Tl2Ru (PBE-GGA, relaxed)
# Density, Mg/m³: 9.4
# Formation energy, eV/atom: -0.195
# Crystal system: monoclinic
data_Ce6Tl2Ru
_chemical_formula_sum 'Ce12 Tl4 Ru2'
_cell_length_a 11.8326
_cell_length_b 6.9278
_cell_length_c 6.8157
_cell_angle_alpha 90.00
_cell_angle_beta 120.92
_cell_angle_gamma 90.00
_symmetry_space_group_name_H-M 'C 1 2/m 1'
_symmetry_Int_Tables_number 12
loop_
_symmetry_equiv_pos_as_xyz
'x,y,z'
'-x,-y,-z'
'-x,y,-z'
'x,-y,z'
'x+1/2,y+1/2,z'
'-x+1/2,-y+1/2,-z'
'-x+1/2,y+1/2,-z'
'x+1/2,-y+1/2,z'
loop_
_atom_site_label
_atom_site_type_symbol
_atom_site_fract_x
_atom_site_fract_y
_atom_site_fract_z
Ce1 Ce 0.0209 0.2382 0.2195
Ce2 Ce 0.2359 0.0000 0.2778
Tl1 Tl 0.2315 0.0000 0.7744
Ru1 Ru 0.0000 0.5000 0.5000


(20)
# Ce7Tl2Ru2 (PBE-GGA, relaxed)
# Density, Mg/m³: 8.9
# Formation energy, eV/atom: -0.085
# Crystal system: monoclinic
data_Ce7Tl2Ru2
_chemical_formula_sum 'Ce14 Tl4 Ru4'
_cell_length_a 8.4700
_cell_length_b 10.1306
_cell_length_c 6.9903
_cell_angle_alpha 90.00
_cell_angle_beta 99.79
_cell_angle_gamma 90.00
_symmetry_space_group_name_H-M 'C 1 2/m 1'
_symmetry_Int_Tables_number 12
loop_
_symmetry_equiv_pos_as_xyz
'x,y,z'
'-x,-y,-z'
'-x,y,-z'
'x,-y,z'
'x+1/2,y+1/2,z'
'-x+1/2,-y+1/2,-z'
'-x+1/2,y+1/2,-z'
'x+1/2,-y+1/2,z'
loop_
_atom_site_label
_atom_site_type_symbol
_atom_site_fract_x
_atom_site_fract_y
_atom_site_fract_z
Ce1 Ce 0.0000 0.0000 0.0000
Ce2 Ce 0.1416 0.5000 0.3540
Ce3 Ce 0.2272 0.2206 0.1788
Tl1 Tl 0.0000 0.1624 0.5000
Ru1 Ru 0.1586 0.5000 0.0121